A geometry-optimized BaLa2S structure, computed with PBE.

It has space group I-42d (No. 122), with a = 9.727 Å, b = 9.727 Å, c = 6.439 Å, α = 90.00°, β = 90.00° and γ = 90.00°. The asymmetric unit holds Ba at (0.000, 0.000, 0.000), La at (0.137, 0.750, 0.625) and S at (0.000, 0.000, 0.500).

The uncorrected formation energy is -2.76 eV per formula unit. The calculation puts the calculated volume at 152.3 Å³/f.u.



A geometry-optimized Ce2Zn3Ir2 structure, computed with PBE.

It has space group C2/m (No. 12), with a = 9.695 Å, b = 4.217 Å, c = 7.070 Å, α = 90.00°, β = 111.44° and γ = 90.00°. The asymmetric unit holds Ce at (0.146, 0.000, 0.269), Zn at (0.000, 0.500, 0.500), Zn at (0.130, 0.500, 0.941) and Ir at (0.141, 0.000, 0.695).

The calculation puts the calculated volume at 134.5 Å³/f.u. As for the formation energy: -0.5605 eV/atom.



- Which formula does entry 2 have?
  Ce2Zn3Ir2